A relaxed structure of LiPrZn4. Source: Alexandria via LeMat-Bulk, functional GGA-PBE.

The structure in CIF format:
```
data_LiPrZn4
_chemical_formula_sum 'Li4 Pr4 Zn16'
_cell_length_a 7.664
_cell_length_b 7.664
_cell_length_c 7.664
_cell_angle_alpha 90.00
_cell_angle_beta 90.00
_cell_angle_gamma 90.00
_space_group_name_H-M_alt 'F -4 3 m'
_space_group_IT_number 216
_space_group_name_Hall 'F -4 2 3'
loop_
_atom_site_label
_atom_site_fract_x
_atom_site_fract_y
_atom_site_fract_z
_atom_site_occupancy
Li1 0.000 0.000 0.000 1
Pr1 0.250 0.250 0.750 1
Zn1 0.126 0.126 0.374 1
```

Results
energy relative to the lowest polymorph listed for this composition = 45 meV/atom
formation enthalpy at 0 K = -0.226 eV per atom
theoretical density = 6.04 g/cm3